1.
Density functional theory data (PBE-GGA) for a relaxed PrAl2Ir2 crystal.

The structure belongs to space group P4/nmm (No. 129, origin choice 2); the cell edges are 4.3024, 4.3024 and 10.2287 Å and the angles 90.00°, 90.00° and 90.00°. Symmetry generates all atoms from Pr at (0.2500, 0.2500, 0.2401), Al at (0.2500, 0.2500, 0.8796), Al at (0.2500, 0.7500, 0.5000), Ir at (0.2500, 0.2500, 0.6314) and Ir at (0.2500, 0.7500, 0.0000).

The uncorrected energy is -68.68 eV for the cell shown.


2.
Density functional theory data (PBE-GGA) for a relaxed PrAlIr crystal.

The structure belongs to space group P6_3/mmc (No. 194); the cell edges are 4.3316, 4.3316 and 8.2546 Å and the angles 90.00°, 90.00° and 120.00°. Symmetry generates all atoms from Pr at (0.0000, 0.0000, 0.0000), Al at (0.3333, 0.6667, 0.2500) and Ir at (0.3333, 0.6667, 0.7500).

The uncorrected energy is -39.01 eV for the cell shown.


3.
Density functional theory data (PBE-GGA) for a relaxed PrAlIr crystal.

The structure belongs to space group P6_3mc (No. 186); the cell edges are 4.3360, 4.3360 and 8.1954 Å and the angles 90.00°, 90.00° and 120.00°. Symmetry generates all atoms from Pr at (0.0000, 0.0000, 0.0000), Al at (0.3333, 0.6667, 0.2499) and Ir at (0.3333, 0.6667, 0.7515).

The uncorrected energy is -39.01 eV for the cell shown.


4.
Density functional theory data (PBE-GGA) for a relaxed PrAl3Ir crystal.

The structure belongs to space group I4mm (No. 107); the cell edges are 4.3057, 4.3057 and 10.8507 Å and the angles 90.00°, 90.00° and 90.00°. Symmetry generates all atoms from Pr at (0.0000, 0.0000, 0.0000), Al at (0.0000, 0.0000, 0.4103), Al at (0.0000, 0.5000, 0.2507) and Ir at (0.0000, 0.0000, 0.6356).

The uncorrected energy is -56.47 eV for the cell shown.